Entry 1:
A plane-wave DFT calculation with GGA-PBE was carried out for an optimized crystal structure of InPb3F.

```
InPb3F
1.0
5.840 0.000 0.000
0.000 5.840 0.000
0.000 0.000 5.840
In Pb F
1 3 1
direct
0.000 0.000 0.000
0.000 0.500 0.000
0.000 0.000 0.500
0.500 0.000 0.000
0.500 0.500 0.500
```

Values from the calculation:
ρ, kg/m³: 6298
Crystal system: cubic
DFT total energy, eV/cell: -14.79
Space group: Pm-3m, No. 221



Entry 2:
A plane-wave DFT calculation with GGA-PBE was carried out for an optimized crystal structure of RbInPbF6.

```
RbInPbF6
1.0
8.021 0.000 0.000
0.000 8.005 0.000
-4.010 -4.003 5.473
Rb F In Pb
2 12 2 2
direct
0.150 0.400 0.299
0.850 0.600 0.701
0.184 0.399 0.734
0.549 0.835 0.734
0.451 0.165 0.266
0.429 0.179 0.858
0.816 0.601 0.266
0.816 0.165 0.266
0.571 0.821 0.142
0.549 0.399 0.734
0.873 0.123 0.747
0.127 0.877 0.253
0.184 0.835 0.734
0.451 0.601 0.266
0.500 0.000 0.000
0.500 0.500 0.000
0.500 0.000 0.500
0.000 0.000 0.500
```

Values from the calculation:
ρ, kg/m³: 4928
Crystal system: orthorhombic
DFT total energy, eV/cell: -83.18
Space group: Imma, No. 74



Entry 3:
A plane-wave DFT calculation with GGA-PBE was carried out for an optimized crystal structure of Rb2InPbF.

```
Rb2InPbF
1.0
7.419 0.000 0.000
0.000 4.719 0.000
0.000 0.000 7.419
Rb In Pb F
2 1 1 1
direct
0.500 0.000 0.000
0.000 0.000 0.500
0.500 0.500 0.500
0.000 0.000 0.000
0.000 0.500 0.000
```

Values from the calculation:
ρ, kg/m³: 3273
Crystal system: tetragonal
DFT total energy, eV/cell: -12.14
Space group: P4/mmm, No. 123



Entry 4:
A plane-wave DFT calculation with GGA-PBE was carried out for an optimized crystal structure of Rb2In2PbF6.

```
Rb2In2PbF6
1.0
6.686 0.000 0.000
-3.343 5.258 -0.146
0.000 -3.181 7.213
F In Rb Pb
6 2 2 1
direct
0.192 0.898 0.245
0.728 0.457 0.459
0.294 0.102 0.755
0.272 0.543 0.541
0.706 0.898 0.245
0.808 0.102 0.755
0.106 0.212 0.242
0.894 0.788 0.758
0.706 0.412 0.105
0.294 0.588 0.895
0.500 0.000 0.500
```

Values from the calculation:
ρ, kg/m³: 4785
Crystal system: monoclinic
DFT total energy, eV/cell: -46.56
Space group: C2/m, No. 12